# 1
This record from the Alexandria database describes crystalline UPaBi6 at its relaxed geometry. The functional is GGA-PBE.

Computed properties:
**Energy relative to the elements**: 4 meV/atom

a = 4.508 Å, b = 4.567 Å, c = 24.362 Å
α = 90.00°, β = 90.00°, γ = 90.00°
Sites, in units of the cell vectors:
U: 0.000 0.000 0.000
U: 0.000 0.500 0.500
Pa: 0.500 0.000 0.345
Pa: 0.500 0.500 0.845
Bi: 0.000 0.000 0.240
Bi: 0.000 0.000 0.599
Bi: 0.000 0.000 0.868
Bi: 0.000 0.500 0.099
Bi: 0.000 0.500 0.368
Bi: 0.000 0.500 0.740
Bi: 0.500 0.000 0.106
Bi: 0.500 0.000 0.477
Bi: 0.500 0.000 0.743
Bi: 0.500 0.500 0.243
Bi: 0.500 0.500 0.606
Bi: 0.500 0.500 0.977


# 2
This record from the Alexandria database describes crystalline Pa2VBi at its relaxed geometry. The functional is GGA-PBE.

Computed properties:
**Distance to the lowest polymorph of the same formula**: 1.29 eV per formula unit
**Energy relative to the elements**: 450 meV/atom

a = 4.736 Å, b = 4.736 Å, c = 15.708 Å
α = 90.00°, β = 90.00°, γ = 120.00°
Sites, in units of the cell vectors:
Pa: 0.000 0.000 0.231
Pa: 0.000 0.000 0.769
Pa: 0.333 0.667 0.436
Pa: 0.333 0.667 0.898
Pa: 0.667 0.333 0.102
Pa: 0.667 0.333 0.564
V: 0.000 0.000 0.500
V: 0.333 0.667 0.167
V: 0.667 0.333 0.833
Bi: 0.000 0.000 0.000
Bi: 0.333 0.667 0.667
Bi: 0.667 0.333 0.333


# 3
This record from the Alexandria database describes crystalline PaV2Bi at its relaxed geometry. The functional is GGA-PBE.

Computed properties:
**Energy relative to the elements**: 262 meV/atom

a = 4.748 Å, b = 4.748 Å, c = 11.651 Å
α = 90.00°, β = 90.00°, γ = 120.00°
Sites, in units of the cell vectors:
Pa: 0.000 0.000 0.000
Pa: 0.333 0.667 0.667
Pa: 0.667 0.333 0.333
V: 0.000 0.000 0.251
V: 0.000 0.000 0.749
V: 0.333 0.667 0.416
V: 0.333 0.667 0.917
V: 0.667 0.333 0.083
V: 0.667 0.333 0.584
Bi: 0.000 0.000 0.500
Bi: 0.333 0.667 0.167
Bi: 0.667 0.333 0.833


# 4
This record from the Alexandria database describes crystalline PaVBi at its relaxed geometry. The functional is GGA-PBE.

Computed properties:
**Distance to the lowest polymorph of the same formula**: 0.58 eV per formula unit
**Energy relative to the elements**: 382 meV/atom

a = 3.505 Å, b = 5.333 Å, c = 14.758 Å
α = 90.00°, β = 90.00°, γ = 90.00°
Sites, in units of the cell vectors:
Pa: 0.000 0.000 0.000
Pa: 0.000 0.500 0.500
Pa: 0.500 0.000 0.500
Pa: 0.500 0.500 0.000
V: 0.000 0.000 0.650
V: 0.000 0.500 0.150
V: 0.500 0.000 0.150
V: 0.500 0.500 0.650
Bi: 0.000 0.000 0.302
Bi: 0.000 0.500 0.802
Bi: 0.500 0.000 0.802
Bi: 0.500 0.500 0.302